Entry 1:
Computed, not measured: SnGe2O after structural relaxation at the PBE level of DFT.

formation energy (no corrections)	1.21	eV/f.u.
calculated volume	17.772	A^3/atom
crystal system	cubic
energy above the lowest structure with this stoichiometry	449	meV per atom
total energy	-4.247	eV per atom
SG	Fm-3m (225)

```
SnGe2O
1.0
0.000 3.288 3.288
3.288 0.000 3.288
3.288 3.288 0.000
O Ge Sn
1 2 1
Cartesian
0.000 0.000 0.000
1.644 1.644 1.644
4.932 4.932 4.932
3.288 3.288 3.288
```



Entry 2:
Computed, not measured: Tm4AsSe2 after structural relaxation at the PBE level of DFT.

formation energy (no corrections)	-8.73	eV/f.u.
calculated volume	22.149	A^3/atom
crystal system	tetragonal
total energy	-5.463	eV per atom
SG	I-42d (122)

```
Tm4AsSe2
1.0
7.002 0.180 -2.343
-3.580 6.020 -2.343
-0.100 -0.180 7.382
Tm As Se
8 2 4
Cartesian
4.224 4.503 0.506
-0.556 2.094 5.369
2.542 1.505 -0.842
-0.527 2.196 1.678
4.278 0.045 4.026
-1.331 5.295 -0.817
2.494 3.067 2.875
2.164 5.374 -2.008
0.000 0.000 0.000
4.306 1.550 1.348
1.219 3.785 0.127
1.248 0.685 3.741
4.320 3.151 -2.294
-0.143 4.419 3.819
```



Entry 3:
Computed, not measured: NbI after structural relaxation at the PBE level of DFT.

formation energy (no corrections)	2.35	eV/f.u.
calculated volume	24.829	A^3/atom
crystal system	cubic
total energy	-4.636	eV per atom
SG	Fm-3m (225)

```
NbI
1.0
5.835 0.000 0.000
0.000 5.835 0.000
0.000 0.000 5.835
Nb I
4 4
Cartesian
0.000 0.000 0.000
0.000 2.917 2.917
2.917 0.000 2.917
2.917 2.917 0.000
2.917 0.000 0.000
0.000 2.917 0.000
0.000 0.000 2.917
2.917 2.917 2.917
```



Entry 4:
Computed, not measured: Sc2MoOs after structural relaxation at the PBE level of DFT.

formation enthalpy at 0 K	-0.029	eV per atom
calculated volume	17.757	A^3/atom
crystal system	monoclinic
total energy	-8.710	eV per atom
SG	Pm (6)

```
Sc2MoOs
1.0
-0.197 -4.353 -0.793
2.937 -0.028 -0.575
2.291 -1.000 4.917
Os Sc Mo
1 2 1
Cartesian
3.726 -2.929 2.781
1.248 -2.447 0.755
5.135 -1.008 4.257
2.765 -0.539 2.271
```



| no. | total moment (μB/atom) |
| --- | --- |
| 1 | 0.00 |
| 2 | 0.00 |
| 3 | 0.95 |
| 4 | 0.00 |